Material: Tb3Zr
Method: DFT, GGA-PBEsol
State: relaxed

Calculated values
- Calculated density: 8.61 g/cm³
- Volume: 27.40 Å³/atom
- ΔH_f (0 K): 0.37 eV per formula unit
- Symmetry: I4/mmm, No. 139
- Size of the total moment: 0.00 μB/f.u.

```
4
Lattice="-2.0771 -2.6126 -3.4404 1.4806 -4.0167 2.1564 -3.7402 3.1871 3.1771" Properties=species:S:1:pos:R:3 pbc="T T T"
Tb -1.2789 -2.0722 2.3458
Tb -3.0578 -1.3701 -0.4526
Tb -0.2983 -3.3147 -0.6420
Zr 0.0000 0.0000 0.0000
```